Here is crystalline FeHgPb2F at its relaxed geometry from Alexandria via LeMat-Bulk. Energies are from PBE with a Hubbard U.

Cell: 5.7498 5.7498 3.8816 Å, 90.00 90.00 90.00°
Space group P4/mmm (No. 123)
Unique sites:
Fe 0.0000 0.0000 0.0000 [1 per cell]
Hg 0.5000 0.5000 0.5000 [1 per cell]
Pb 0.0000 0.5000 0.0000 [2 per cell]
F 0.0000 0.0000 0.5000 [1 per cell]

Values from the calculation:
The calculation puts the energy above the most stable polymorph in this dataset at 0 meV/atom. The value obtained for the density is 8927 kg/m³.